Record 1
VASP calculation (PBE) on a geometry-optimized ZrTcMo2 structure.

POSCAR file:
```
ZrTcMo2
1.0
-0.141 4.450 -0.469
-2.427 0.083 1.513
1.975 0.579 4.904
Mo Zr Tc
2 1 1
Direct
0.500 0.245 0.248
0.000 0.010 0.010
0.500 0.748 0.746
0.000 0.497 0.496
```

E_tot = -40.664 eV/f.u.
energy above the lowest structure with this stoichiometry = 99.1 meV/atom
ΔE_f = -22 meV/atom

***

Record 2
VASP calculation (PBE) on a geometry-optimized LiDySi2Ir structure.

POSCAR file:
```
LiDySi2Ir
1.0
4.044 0.000 0.000
0.000 4.044 0.000
-2.022 -2.022 5.050
Ir Si Dy Li
1 2 1 1
Direct
0.250 0.750 0.500
0.618 0.618 0.237
0.382 0.382 0.763
0.000 0.000 0.000
0.750 0.250 0.500
```

E_tot = -30.135 eV/f.u.
raw formation energy = -0.782 eV/atom

***

Record 3
VASP calculation (PBE) on a geometry-optimized MgAlIO2 structure.

POSCAR file:
```
MgAlIO2
1.0
-2.305 1.046 3.112
-1.993 -3.467 -0.311
3.745 -2.477 3.606
O I Al Mg
2 1 1 1
Direct
0.000 0.500 0.000
0.500 0.000 0.000
0.000 0.000 0.500
0.500 0.500 0.500
0.000 0.000 0.000
```

E_tot = -18.848 eV/f.u.
energy above the lowest structure with this stoichiometry = 704.1 meV/atom
raw formation energy = -0.409 eV/atom

***

- E_tot of number 2 (LiDySi2Ir)?
  -30.135 eV/f.u.

***

- Which value of E_tot does entry 3 give?
  -18.848 eV/f.u.

***

Please write out number 2 again, unchanged.
VASP calculation (PBE) on a geometry-optimized LiDySi2Ir structure.

POSCAR file:
```
LiDySi2Ir
1.0
4.044 0.000 0.000
0.000 4.044 0.000
-2.022 -2.022 5.050
Ir Si Dy Li
1 2 1 1
Direct
0.250 0.750 0.500
0.618 0.618 0.237
0.382 0.382 0.763
0.000 0.000 0.000
0.750 0.250 0.500
```

E_tot = -30.135 eV/f.u.
raw formation energy = -0.782 eV/atom